Below is crystalline LiLaTbEr at its relaxed geometry, with properties calculated at the PBE level.

Fermi-level density of states in states/eV/cell: 4.364
V in A^3/atom: 30.5
Final energy in eV for the cell shown: -15.4
DFT formation energy in kJ/mol of formula units: 62

Cell lengths 5.566, 5.566, 5.566 Å; angles 60.00, 60.00, 60.00 degrees
Element x y z (fractional)
La1 0.750 0.750 0.750
Tb1 0.250 0.250 0.250
Li1 0.000 0.000 0.000
Er1 0.500 0.500 0.500